Crystalline InP at its relaxed geometry, computed with GGA-PBEsol.

The structure belongs to space group Imma (No. 74); the cell edges are 3.223, 4.176 and 12.991 Å and the angles 90.00°, 90.00° and 90.00°. The distinct sites, in fractional coordinates, are In at (0.000, 0.250, 0.090) and P at (0.000, 0.250, 0.690).

The value obtained for the total moment is 0.00 μB/cell. The total energy comes out at -4.273 eV/atom. The formation energy from the elements is 0.114 eV/atom.